No. 1
A crystal of GaBP2Pt relaxed with PBEsol. Source: Alexandria via LeMat-Bulk, functional meta-GGA SCAN.

abc: 3.917 4.812 4.812
angles: 90.00 90.00 90.00
Fractional positions:
P (0.000, 0.000, 0.500)
P (0.000, 0.500, 0.000)
B (0.500, 0.000, 0.000)
Ga (0.500, 0.500, 0.500)
Pt (0.000, 0.000, 0.000)

Output
For the total energy, the calculation gives -22.20 eV per atom. As for the formation energy: 757 meV per atom.

***

No. 2
A crystal of Tl2CrAu relaxed with PBEsol. Source: Alexandria via LeMat-Bulk, functional meta-GGA SCAN.

abc: 4.864 4.864 4.864
angles: 60.00 60.00 60.00
Fractional positions:
Cr (0.500, 0.500, 0.500)
Tl (0.250, 0.250, 0.250)
Tl (0.750, 0.750, 0.750)
Au (0.000, 0.000, 0.000)

Output
For the total energy, the calculation gives -57.83 eV per atom. The offset from the most stable computed form comes out at 49 meV per atom. As for the formation energy: 236 meV per atom.

***

No. 3
A crystal of CdTc2W relaxed with PBEsol. Source: Alexandria via LeMat-Bulk, functional meta-GGA SCAN.

abc: 2.728 2.728 9.062
angles: 90.00 90.00 110.88
Fractional positions:
Tc (0.000, 0.000, 0.731)
W (0.500, 0.500, 0.500)
Tc (0.000, 0.000, 0.269)
Cd (0.500, 0.500, 0.000)

Output
For the total energy, the calculation gives -42.33 eV per atom. As for the formation energy: 228 meV per atom.

***

What did the first record say?
A crystal of GaBP2Pt relaxed with PBEsol. Source: Alexandria via LeMat-Bulk, functional meta-GGA SCAN.

abc: 3.917 4.812 4.812
angles: 90.00 90.00 90.00
Fractional positions:
P (0.000, 0.000, 0.500)
P (0.000, 0.500, 0.000)
B (0.500, 0.000, 0.000)
Ga (0.500, 0.500, 0.500)
Pt (0.000, 0.000, 0.000)

Output
For the total energy, the calculation gives -22.20 eV per atom. As for the formation energy: 757 meV per atom.